VASP calculation (PBE) on crystalline Cs3Ce2PaSe6 at its relaxed geometry.

Values from the calculation:
VASP energy, eV/cell: -63.236
Crystal system: monoclinic
Symmetry: C2/m

a = 7.564 Å, b = 7.564 Å, c = 8.798 Å
α = 98.24°, β = 98.24°, γ = 119.99°
Sites, in units of the cell vectors:
Cs 0.000 0.000 0.000
Cs 0.331 0.669 0.000
Cs 0.669 0.331 0.000
Ce 0.166 0.834 0.500
Ce 0.834 0.166 0.500
Pa 0.500 0.500 0.500
Se 0.114 0.437 0.311
Se 0.241 0.241 0.690
Se 0.437 0.114 0.311
Se 0.563 0.886 0.689
Se 0.759 0.759 0.310
Se 0.886 0.563 0.689